# HfCu2TeBr GGA-PBE relaxed
data_HfCu2TeBr
_chemical_formula_sum 'Hf1 Cu2 Te1 Br1'
_symmetry_space_group_name_H-M 'P 4/m m m'
_symmetry_Int_Tables_number 123
_symmetry_space_group_name_Hall '-P 4 2'
_cell_length_a 4.789
_cell_length_b 4.789
_cell_length_c 5.835
_cell_angle_alpha 90.00
_cell_angle_beta 90.00
_cell_angle_gamma 90.00
loop_
_atom_site_label
_atom_site_type_symbol
_atom_site_fract_x
_atom_site_fract_y
_atom_site_fract_z
Hf1 Hf 0.000 0.000 0.000
Cu1 Cu 0.000 0.500 0.500
Te1 Te 0.500 0.500 0.500
Br1 Br 0.500 0.500 0.000
# formation energy without anion corrections = 5.14 eV/f.u.
# volume = 134 Å³/cell